1.
The following is a DFT calculation (PBE) of an optimized crystal structure of RbSbPb2.

Volume, Å³/atom: 33.29
Formation energy from raw total energies, eV per formula unit: -0.1
SG: P4/mmm
E_tot, eV/atom: -3.14

CIF file:
```
data_RbSbPb2
_cell_length_a 5.021
_cell_length_b 5.150
_cell_length_c 5.150
_cell_angle_alpha 90.00
_cell_angle_beta 90.00
_cell_angle_gamma 90.00
_space_group_name_H-M_alt 'P 1'
_space_group_IT_number 1
_space_group_name_Hall 'P 1'
loop_
_atom_site_label
_atom_site_type_symbol
_atom_site_fract_x
_atom_site_fract_y
_atom_site_fract_z
_atom_site_occupancy
Sb1 Sb 0.500 0.000 0.000 1
Rb1 Rb 0.500 0.500 0.500 1
Pb1 Pb 0.000 0.500 0.000 1
Pb2 Pb 0.000 0.000 0.500 1
```

***

2.
The following is a DFT calculation (PBE) of an optimized crystal structure of Pm3SiBr.

Volume, Å³/atom: 30.16
Formation energy from raw total energies, eV per formula unit: -3.3
SG: Pmmn
E_tot, eV/atom: -4.93

CIF file:
```
data_Pm3SiBr
_cell_length_a 4.127
_cell_length_b 9.280
_cell_length_c 7.874
_cell_angle_alpha 90.00
_cell_angle_beta 90.00
_cell_angle_gamma 90.00
_space_group_name_H-M_alt 'P 1'
_space_group_IT_number 1
_space_group_name_Hall 'P 1'
loop_
_atom_site_label
_atom_site_type_symbol
_atom_site_fract_x
_atom_site_fract_y
_atom_site_fract_z
_atom_site_occupancy
Pm1 Pm 0.750 0.560 0.833 1
Pm2 Pm 0.250 0.440 0.167 1
Pm3 Pm 0.750 0.940 0.833 1
Pm4 Pm 0.250 0.060 0.167 1
Pm5 Pm 0.750 0.750 0.268 1
Pm6 Pm 0.250 0.250 0.732 1
Si1 Si 0.750 0.250 0.983 1
Si2 Si 0.250 0.750 0.017 1
Br1 Br 0.250 0.750 0.566 1
Br2 Br 0.750 0.250 0.434 1
```

***

3.
The following is a DFT calculation (PBE) of an optimized crystal structure of MgBeTcB2.

Volume, Å³/atom: 13.96
ΔE_f, eV/atom: 0.638
SG: P4/mmm
E_tot, eV/atom: -5.17

CIF file:
```
data_MgBeTcB2
_cell_length_a 4.080
_cell_length_b 4.193
_cell_length_c 4.080
_cell_angle_alpha 90.00
_cell_angle_beta 90.00
_cell_angle_gamma 90.00
_space_group_name_H-M_alt 'P 1'
_space_group_IT_number 1
_space_group_name_Hall 'P 1'
loop_
_atom_site_label
_atom_site_type_symbol
_atom_site_fract_x
_atom_site_fract_y
_atom_site_fract_z
_atom_site_occupancy
Tc1 Tc 0.000 0.000 0.000 1
Mg1 Mg 0.500 0.500 0.500 1
Be1 Be 0.000 0.500 0.000 1
B1 B 0.000 0.000 0.500 1
B2 B 0.500 0.000 0.000 1
```

***

4.
The following is a DFT calculation (PBE) of an optimized crystal structure of Hg3PdPt.

Polymorph energy (0 for the lowest one), eV/f.u.: 1.26
Volume, Å³/atom: 26.86
ΔE_f, eV/atom: 0.666
SG: Pm-3m
E_tot, eV/atom: -1.76

CIF file:
```
data_Hg3PdPt
_cell_length_a 5.121
_cell_length_b 5.121
_cell_length_c 5.121
_cell_angle_alpha 90.00
_cell_angle_beta 90.00
_cell_angle_gamma 90.00
_space_group_name_H-M_alt 'P 1'
_space_group_IT_number 1
_space_group_name_Hall 'P 1'
loop_
_atom_site_label
_atom_site_type_symbol
_atom_site_fract_x
_atom_site_fract_y
_atom_site_fract_z
_atom_site_occupancy
Hg1 Hg 0.000 0.500 0.000 1
Hg2 Hg 0.500 0.000 0.000 1
Hg3 Hg 0.000 0.000 0.500 1
Pd1 Pd 0.000 0.000 0.000 1
Pt1 Pt 0.500 0.500 0.500 1
```

***

5.
The following is a DFT calculation (PBE) of an optimized crystal structure of BiAs2RuO8.

Volume, Å³/atom: 14.63
Formation energy from raw total energies, eV per formula unit: -11.7
SG: P-3m1
E_tot, eV/atom: -6.15

CIF file:
```
data_BiAs2RuO8
_cell_length_a 5.461
_cell_length_b 5.461
_cell_length_c 6.799
_cell_angle_alpha 90.00
_cell_angle_beta 90.00
_cell_angle_gamma 120.00
_space_group_name_H-M_alt 'P 1'
_space_group_IT_number 1
_space_group_name_Hall 'P 1'
loop_
_atom_site_label
_atom_site_type_symbol
_atom_site_fract_x
_atom_site_fract_y
_atom_site_fract_z
_atom_site_occupancy
O1 O 0.157 0.843 0.794 1
O2 O 0.157 0.313 0.794 1
O3 O 0.667 0.333 0.523 1
O4 O 0.687 0.843 0.794 1
O5 O 0.843 0.157 0.206 1
O6 O 0.313 0.157 0.206 1
O7 O 0.333 0.667 0.477 1
O8 O 0.843 0.687 0.206 1
Bi1 Bi 0.000 0.000 0.500 1
Ru1 Ru 0.000 0.000 0.000 1
As1 As 0.333 0.667 0.725 1
As2 As 0.667 0.333 0.275 1
```

***

6.
The following is a DFT calculation (PBE) of an optimized crystal structure of MgSi3Ni3.

Volume, Å³/atom: 17.39
Formation energy from raw total energies, eV per formula unit: 0.8
SG: Pm-3n
E_tot, eV/atom: -4.92

CIF file:
```
data_MgSi3Ni3
_cell_length_a 6.245
_cell_length_b 6.245
_cell_length_c 6.245
_cell_angle_alpha 90.00
_cell_angle_beta 90.00
_cell_angle_gamma 90.00
_space_group_name_H-M_alt 'P 1'
_space_group_IT_number 1
_space_group_name_Hall 'P 1'
loop_
_atom_site_label
_atom_site_type_symbol
_atom_site_fract_x
_atom_site_fract_y
_atom_site_fract_z
_atom_site_occupancy
Ni1 Ni 0.750 0.500 0.000 1
Ni2 Ni 0.500 0.000 0.250 1
Ni3 Ni 0.500 0.000 0.750 1
Ni4 Ni 0.000 0.250 0.500 1
Ni5 Ni 0.000 0.750 0.500 1
Ni6 Ni 0.250 0.500 0.000 1
Si1 Si 0.500 0.750 0.000 1
Si2 Si 0.500 0.250 0.000 1
Si3 Si 0.250 0.000 0.500 1
Si4 Si 0.750 0.000 0.500 1
Si5 Si 0.000 0.500 0.250 1
Si6 Si 0.000 0.500 0.750 1
Mg1 Mg 0.500 0.500 0.500 1
Mg2 Mg 0.000 0.000 0.000 1
```

***

7.
The following is a DFT calculation (PBE) of an optimized crystal structure of Ba2LaYTl.

Volume, Å³/atom: 48.14
ΔE_f, eV/atom: 0.601
SG: P4/mmm
E_tot, eV/atom: -2.92

CIF file:
```
data_Ba2LaYTl
_cell_length_a 6.447
_cell_length_b 5.791
_cell_length_c 6.447
_cell_angle_alpha 90.00
_cell_angle_beta 90.00
_cell_angle_gamma 90.00
_space_group_name_H-M_alt 'P 1'
_space_group_IT_number 1
_space_group_name_Hall 'P 1'
loop_
_atom_site_label
_atom_site_type_symbol
_atom_site_fract_x
_atom_site_fract_y
_atom_site_fract_z
_atom_site_occupancy
La1 La 0.000 0.000 0.000 1
Tl1 Tl 0.500 0.500 0.500 1
Y1 Y 0.000 0.500 0.000 1
Ba1 Ba 0.000 0.000 0.500 1
Ba2 Ba 0.500 0.000 0.000 1
```

***

8.
The following is a DFT calculation (PBE) of an optimized crystal structure of Pm3ErHg7.

Volume, Å³/atom: 27.45
ΔE_f, eV/atom: -0.331
SG: Cmcm
E_tot, eV/atom: -2.23

CIF file:
```
data_Pm3ErHg7
_cell_length_a 12.670
_cell_length_b 12.670
_cell_length_c 13.151
_cell_angle_alpha 90.00
_cell_angle_beta 90.00
_cell_angle_gamma 163.38
_space_group_name_H-M_alt 'P 1'
_space_group_IT_number 1
_space_group_name_Hall 'P 1'
loop_
_atom_site_label
_atom_site_type_symbol
_atom_site_fract_x
_atom_site_fract_y
_atom_site_fract_z
_atom_site_occupancy
Hg1 Hg 0.698 0.302 0.750 1
Hg2 Hg 0.592 0.408 0.391 1
Hg3 Hg 0.408 0.592 0.891 1
Hg4 Hg 0.725 0.275 0.420 1
Hg5 Hg 0.539 0.461 0.901 1
Hg6 Hg 0.461 0.539 0.099 1
Hg7 Hg 0.275 0.725 0.580 1
Hg8 Hg 0.592 0.408 0.109 1
Hg9 Hg 0.275 0.725 0.920 1
Hg10 Hg 0.725 0.275 0.080 1
Hg11 Hg 0.539 0.461 0.599 1
Hg12 Hg 0.302 0.698 0.250 1
Hg13 Hg 0.461 0.539 0.401 1
Hg14 Hg 0.408 0.592 0.609 1
Er1 Er 0.979 0.021 0.750 1
Er2 Er 0.021 0.979 0.250 1
Pm1 Pm 0.144 0.856 0.926 1
Pm2 Pm 0.144 0.856 0.574 1
Pm3 Pm 0.827 0.173 0.750 1
Pm4 Pm 0.173 0.827 0.250 1
Pm5 Pm 0.856 0.144 0.074 1
Pm6 Pm 0.856 0.144 0.426 1
```

***

9.
The following is a DFT calculation (PBE) of an optimized crystal structure of Sr3HgPt.

Polymorph energy (0 for the lowest one), eV/f.u.: 0.54
Volume, Å³/atom: 40.52
ΔE_f, eV/atom: -0.500
SG: Pm-3m
E_tot, eV/atom: -2.78

CIF file:
```
data_Sr3HgPt
_cell_length_a 5.873
_cell_length_b 5.873
_cell_length_c 5.873
_cell_angle_alpha 90.00
_cell_angle_beta 90.00
_cell_angle_gamma 90.00
_space_group_name_H-M_alt 'P 1'
_space_group_IT_number 1
_space_group_name_Hall 'P 1'
loop_
_atom_site_label
_atom_site_type_symbol
_atom_site_fract_x
_atom_site_fract_y
_atom_site_fract_z
_atom_site_occupancy
Sr1 Sr 0.000 0.500 0.000 1
Sr2 Sr 0.000 0.000 0.500 1
Sr3 Sr 0.500 0.000 0.000 1
Hg1 Hg 0.500 0.500 0.500 1
Pt1 Pt 0.000 0.000 0.000 1
```

***

10.
The following is a DFT calculation (PBE) of an optimized crystal structure of In6Ag7.

Volume, Å³/atom: 21.53
ΔE_f, eV/atom: 0.017
SG: R-3m
E_tot, eV/atom: -2.78

CIF file:
```
data_In6Ag7
_cell_length_a 10.097
_cell_length_b 10.097
_cell_length_c 10.097
_cell_angle_alpha 33.54
_cell_angle_beta 33.54
_cell_angle_gamma 33.54
_space_group_name_H-M_alt 'P 1'
_space_group_IT_number 1
_space_group_name_Hall 'P 1'
loop_
_atom_site_label
_atom_site_type_symbol
_atom_site_fract_x
_atom_site_fract_y
_atom_site_fract_z
_atom_site_occupancy
In1 In 0.842 0.842 0.842 1
In2 In 0.050 0.050 0.050 1
In3 In 0.950 0.950 0.950 1
In4 In 0.333 0.333 0.333 1
In5 In 0.667 0.667 0.667 1
In6 In 0.158 0.158 0.158 1
Ag1 Ag 0.915 0.414 0.414 1
Ag2 Ag 0.414 0.414 0.915 1
Ag3 Ag 0.085 0.586 0.586 1
Ag4 Ag 0.586 0.085 0.586 1
Ag5 Ag 0.586 0.586 0.085 1
Ag6 Ag 0.500 0.500 0.500 1
Ag7 Ag 0.414 0.915 0.414 1
```

***

11.
The following is a DFT calculation (PBE) of an optimized crystal structure of AlNiSb2.

Volume, Å³/atom: 21.73
Formation energy from raw total energies, eV per formula unit: -0.3
SG: Cm
E_tot, eV/atom: -4.52

CIF file:
```
data_AlNiSb2
_cell_length_a 4.339
_cell_length_b 4.339
_cell_length_c 6.253
_cell_angle_alpha 73.19
_cell_angle_beta 73.19
_cell_angle_gamma 51.19
_space_group_name_H-M_alt 'P 1'
_space_group_IT_number 1
_space_group_name_Hall 'P 1'
loop_
_atom_site_label
_atom_site_type_symbol
_atom_site_fract_x
_atom_site_fract_y
_atom_site_fract_z
_atom_site_occupancy
Sb1 Sb 0.011 0.011 0.904 1
Sb2 Sb 0.262 0.262 0.335 1
Al1 Al 0.476 0.476 0.584 1
Ni1 Ni 0.751 0.751 0.676 1
```